Density functional theory data (GGA-PBE) for a relaxed Ac2Tb5Pm crystal.

Properties
Energy relative to the elements = 1.09 kcal/mol of atoms
SG = No. 139
V = 281.7 Å³/f.u.

Lattice parameters (Å, degrees): 5.2652 5.2652 10.8217 104.08 104.08 90.00
With the nearest neighbours (Å) after each atom.
Sites, in units of the cell vectors:
Tb (0.6189, 0.1189, 0.2378)  6 Tb 3.57-3.72, 2 Pm 3.57, 4 Ac 3.74-3.75
Tb (0.8811, 0.3811, 0.7622)  6 Tb 3.57-3.72, 2 Pm 3.57, 4 Ac 3.74-3.75
Tb (0.5000, 0.5000, 0.0000)  8 Tb 3.57, 4 Pm 3.72
Tb (0.1189, 0.6189, 0.2378)  6 Tb 3.57-3.72, 2 Pm 3.57, 4 Ac 3.74-3.75
Tb (0.3811, 0.8811, 0.7622)  6 Tb 3.57-3.72, 2 Pm 3.57, 4 Ac 3.74-3.75
Ac (0.2501, 0.2501, 0.5003)  4 Ac 3.72, 8 Tb 3.74-3.75
Ac (0.7499, 0.7499, 0.4997)  4 Ac 3.72, 8 Tb 3.74-3.75
Pm (0.0000, 0.0000, 0.0000)  12 Tb 3.57-3.72

---

Density functional theory data (GGA-PBE) for a relaxed Cd2CoRh crystal.

Properties
Energy relative to the elements = 11.38 kcal/mol of atoms
SG = No. 122
V = 71.6 Å³/f.u.

Lattice parameters (Å, degrees): 7.2958 7.2958 5.8184 51.17 51.17 90.00
With the nearest neighbours (Å) after each atom.
Sites, in units of the cell vectors:
Rh (0.7500, 0.2500, 0.5000)  2 Co 2.69, 4 Cd 2.72
Rh (0.0000, 0.0000, 0.0000)  2 Co 2.69, 4 Cd 2.72
Co (0.2500, 0.7500, 0.5000)  4 Cd 2.61, 2 Rh 2.69
Co (0.5000, 0.5000, 0.0000)  4 Cd 2.61, 2 Rh 2.69
Cd (0.3750, 0.3865, 0.7500)  2 Co 2.61, 2 Cd 2.70, 2 Rh 2.72
Cd (0.1365, 0.6250, 0.2500)  2 Co 2.61, 2 Cd 2.70, 2 Rh 2.72
Cd (0.8750, 0.8635, 0.7500)  2 Co 2.61, 2 Cd 2.70, 2 Rh 2.72
Cd (0.6135, 0.1250, 0.2500)  2 Co 2.61, 2 Cd 2.70, 2 Rh 2.72

---

Density functional theory data (GGA-PBE) for a relaxed YTc2Os crystal.

Properties
Energy relative to the lowest polymorph listed for this composition = 494 meV per atom
Energy relative to the elements = 11.10 kcal/mol of atoms
SG = No. 123
V = 68.7 Å³/f.u.

Lattice parameters (Å, degrees): 4.3595 3.9691 3.9691 90.00 90.00 90.00
With the nearest neighbours (Å) after each atom.
Sites, in units of the cell vectors:
Tc (0.0000, 0.0000, 0.0000)  4 Tc 2.81, 4 Os 2.95, 4 Y 2.95
Tc (0.0000, 0.5000, 0.5000)  4 Tc 2.81, 4 Os 2.95, 4 Y 2.95
Y (0.5000, 0.5000, 0.0000)  4 Os 2.81, 8 Tc 2.95
Os (0.5000, 0.0000, 0.5000)  4 Y 2.81, 8 Tc 2.95

---

Density functional theory data (GGA-PBE) for a relaxed PmNi3P3 crystal.

Properties
Energy relative to the lowest polymorph listed for this composition = 0 meV per atom
Energy relative to the elements = -16.45 kcal/mol of atoms
SG = No. 148
V = 119.9 Å³/f.u.

Lattice parameters (Å, degrees): 6.4826 6.4826 7.5758 64.67 64.67 60.00
With the nearest neighbours (Å) after each atom.
Sites, in units of the cell vectors:
P (0.9032, 0.2310, 0.2857)  4 Ni 2.22-2.28
P (0.0968, 0.7690, 0.7143)  4 Ni 2.22-2.28
P (0.7690, 0.4199, 0.7143)  4 Ni 2.22-2.28
P (0.5801, 0.9032, 0.2857)  4 Ni 2.22-2.28
P (0.2310, 0.5801, 0.2857)  4 Ni 2.22-2.28
P (0.4199, 0.0968, 0.7143)  4 Ni 2.22-2.28
Ni (0.4622, 0.7909, 0.6219)  4 P 2.22-2.28
Ni (0.5378, 0.2091, 0.3781)  4 P 2.22-2.28
Ni (0.1250, 0.4622, 0.6219)  4 P 2.22-2.28
Ni (0.7909, 0.1250, 0.6219)  4 P 2.22-2.28
Ni (0.2091, 0.8750, 0.3781)  4 P 2.22-2.28
Ni (0.8750, 0.5378, 0.3781)  4 P 2.22-2.28
Pm (0.6671, 0.6671, 0.9986)  6 P 2.88-2.89
Pm (0.3329, 0.3329, 0.0014)  6 P 2.88-2.89

---

Density functional theory data (GGA-PBE) for a relaxed LaSm2Pb9 crystal.

Properties
Energy relative to the elements = -8.75 kcal/mol of atoms
SG = No. 123
V = 359.0 Å³/f.u.

Lattice parameters (Å, degrees): 4.9329 4.9329 14.7527 90.00 90.00 90.00
With the nearest neighbours (Å) after each atom.
Sites, in units of the cell vectors:
Pb (0.0000, 0.5000, 0.8305)  2 Sm 3.45, 8 Pb 3.47-3.51, 2 La 3.51
Pb (0.0000, 0.5000, 0.1695)  2 Sm 3.45, 8 Pb 3.47-3.51, 2 La 3.51
Pb (0.5000, 0.0000, 0.8305)  2 Sm 3.45, 8 Pb 3.47-3.51, 2 La 3.51
Pb (0.0000, 0.5000, 0.5000)  8 Pb 3.47-3.49, 4 Sm 3.48
Pb (0.5000, 0.5000, 0.0000)  4 La 3.49, 8 Pb 3.51
Pb (0.5000, 0.0000, 0.5000)  8 Pb 3.47-3.49, 4 Sm 3.48
Pb (0.5000, 0.0000, 0.1695)  2 Sm 3.45, 8 Pb 3.47-3.51, 2 La 3.51
Pb (0.5000, 0.5000, 0.3347)  8 Pb 3.47, 4 Sm 3.49
Pb (0.5000, 0.5000, 0.6653)  8 Pb 3.47, 4 Sm 3.49
Sm (0.0000, 0.0000, 0.3333)  12 Pb 3.45-3.49
Sm (0.0000, 0.0000, 0.6667)  12 Pb 3.45-3.49
La (0.0000, 0.0000, 0.0000)  12 Pb 3.49-3.51

---

Density functional theory data (GGA-PBE) for a relaxed BaLiTl2Au4 crystal.

Properties
Energy relative to the elements = -7.93 kcal/mol of atoms
SG = No. 166
V = 193.8 Å³/f.u.

Lattice parameters (Å, degrees): 4.9656 4.9656 9.5154 74.87 74.87 60.00
With the nearest neighbours (Å) after each atom.
Sites, in units of the cell vectors:
Tl (0.2415, 0.2415, 0.2754)  7 Au 2.93-3.09
Tl (0.7585, 0.7585, 0.7246)  7 Au 2.93-3.09
Ba (0.0000, 0.0000, 0.0000)  8 Au 3.42-3.64, 6 Tl 3.80
Li (0.5000, 0.5000, 0.5000)  2 Au 2.67
Au (0.5980, 0.5980, 0.2059)  1 Li 2.67, 3 Tl 2.94
Au (0.4020, 0.4020, 0.7941)  1 Li 2.67, 3 Tl 2.94
Au (0.8661, 0.8661, 0.4016)  4 Tl 2.93-3.09, 3 Li 3.00
Au (0.1339, 0.1339, 0.5984)  4 Tl 2.93-3.09, 3 Li 3.00

---

Density functional theory data (GGA-PBE) for a relaxed TcN crystal.

Properties
Energy relative to the lowest polymorph listed for this composition = 205 meV per atom
E_form (uncorrected) = 209.3 meV per atom
SG = No. 136
V = 24.8 Å³/f.u.

Lattice parameters (Å, degrees): 5.6086 5.6086 3.1571 90.00 90.00 90.00
With the nearest neighbours (Å) after each atom.
Sites, in units of the cell vectors:
Tc (0.7073, 0.7073, 0.0000)  4 N 1.95-2.02
Tc (0.7927, 0.2073, 0.5000)  4 N 1.95-2.02
Tc (0.2927, 0.2927, 0.0000)  4 N 1.95-2.02
Tc (0.2073, 0.7927, 0.5000)  4 N 1.95-2.02
N (0.6475, 0.3525, 0.0000)  4 Tc 1.95-2.02
N (0.1475, 0.1475, 0.5000)  4 Tc 1.95-2.02
N (0.8525, 0.8525, 0.5000)  4 Tc 1.95-2.02
N (0.3525, 0.6475, 0.0000)  4 Tc 1.95-2.02

---

Density functional theory data (GGA-PBE) for a relaxed Pm4Sm2ErTh crystal.

Properties
Energy relative to the elements = 3.17 kcal/mol of atoms
SG = No. 10
V = 267.7 Å³/f.u.

Lattice parameters (Å, degrees): 6.0628 6.0576 9.4727 50.32 90.00 90.00
With the nearest neighbours (Å) after each atom.
Sites, in units of the cell vectors:
Sm (0.0000, 0.0000, 0.0000)  8 Pm 3.52-3.53, 2 Er 3.64-3.65
Sm (0.5000, 0.0000, 0.5000)  8 Pm 3.54-3.55, 2 Th 3.64
Pm (0.5000, 0.2474, 0.7528)  2 Th 3.52-3.53, 4 Sm 3.53-3.55, 2 Er 3.55, 2 Pm 3.60-3.69
Pm (0.5000, 0.7526, 0.2472)  2 Th 3.52-3.53, 4 Sm 3.53-3.55, 2 Er 3.55, 2 Pm 3.60-3.69
Pm (0.0000, 0.7468, 0.7533)  4 Sm 3.52-3.55, 2 Th 3.52, 2 Er 3.55, 2 Pm 3.60-3.69
Pm (0.0000, 0.2532, 0.2467)  4 Sm 3.52-3.55, 2 Th 3.52, 2 Er 3.55, 2 Pm 3.60-3.69
Er (0.0000, 0.5000, 0.5000)  8 Pm 3.55, 2 Sm 3.64-3.65
Th (0.5000, 0.5000, 0.0000)  8 Pm 3.52-3.53, 2 Sm 3.64